one:
Here is a geometry-optimized VFe4 structure from the Alexandria database. Energies are from PBE.

Cell lengths 2.4383, 2.4383, 19.9831 Å; angles 90.00, 90.00, 90.00 degrees
Closest atoms and distances in Å follow each position.
Space group I4/mmm (No. 139)
Unique sites:
V1 0.0000 0.0000 0.0000  4 V 2.44, 8 Fe 2.67
Fe1 0.0000 0.0000 0.2006  12 Fe 2.44-2.62
Fe2 0.0000 0.0000 0.3979  8 Fe 2.44-2.62, 4 V 2.67



two:
Here is a geometry-optimized VFe4 structure from the Alexandria database. Energies are from PBE.

Cell lengths 2.8911, 4.0103, 20.1209 Å; angles 90.00, 90.00, 90.00 degrees
Closest atoms and distances in Å follow each position.
Space group Fmmm (No. 69)
Unique sites:
V1 0.0000 0.0000 0.0000  4 V 2.47, 4 Fe 2.50
Fe1 0.0000 0.0000 0.2001  8 Fe 2.46-2.47
Fe2 0.0000 0.0000 0.3988  6 Fe 2.46-2.47, 2 V 2.50



Relative energies, unit meV per atom: one 112; two 0